Compound: MgCdH2Pd5
Source: Alexandria via LeMat-Bulk
Functional: PBE
Structure: optimized geometry

## Properties
**Total DFT energy (no corrections)**: -4.14 eV per atom
**Space-group type**: No. 123
**Total magnetic moment**: 0.00 Bohr magnetons per cell
**DOS(E_F)**: 3.04 states/eV/cell

a b c (Å): 3.971 3.971 8.130
angles (deg): 90.00 90.00 90.00
Positions (direct):
Mg 0.000 0.000 0.000
Cd 0.500 0.500 0.500
H 0.000 0.000 0.266
H 0.000 0.000 0.734
Pd 0.000 0.000 0.500
Pd 0.000 0.500 0.764
Pd 0.500 0.000 0.236
Pd 0.000 0.500 0.236
Pd 0.500 0.000 0.764

***

Compound: Hf6ZnFe
Source: Alexandria via LeMat-Bulk
Functional: PBE
Structure: optimized geometry

## Properties
**Energy of formation**: 1.95 eV/f.u.
**Space-group type**: No. 12
**Total magnetic moment**: 0.00 Bohr magnetons per cell
**DOS(E_F)**: 9.46 states/eV/cell

a b c (Å): 5.930 6.100 6.003
angles (deg): 59.47 77.11 63.95
Positions (direct):
Hf 0.744 0.469 0.601
Hf 0.744 0.070 0.399
Hf 0.256 0.930 0.601
Hf 0.256 0.531 0.399
Hf 0.740 0.736 0.000
Hf 0.260 0.264 0.000
Zn 0.000 0.000 0.000
Fe 0.500 0.500 0.000

***

Compound: In2RuW
Source: Alexandria via LeMat-Bulk
Functional: PBE
Structure: optimized geometry

## Properties
**Energy of formation**: 2.21 eV/f.u.
**Space-group type**: No. 10
**Total magnetic moment**: 0.00 Bohr magnetons per cell
**DOS(E_F)**: 3.97 states/eV/cell

a b c (Å): 4.552 2.972 5.375
angles (deg): 81.82 90.00 90.00
Positions (direct):
In 0.000 0.039 0.006
In 0.000 0.461 0.494
Ru 0.500 0.250 0.250
W 0.500 0.750 0.750

***

Compound: NaPd3Pb
Source: Alexandria via LeMat-Bulk
Functional: PBE
Structure: optimized geometry

## Properties
**Energy of formation**: 1.97 eV/f.u.
**Space-group type**: No. 221
**Total magnetic moment**: 0.00 Bohr magnetons per cell
**DOS(E_F)**: 5.72 states/eV/cell

a b c (Å): 5.140 5.140 5.140
angles (deg): 90.00 90.00 90.00
Positions (direct):
Pb 0.000 0.000 0.000
Na 0.500 0.500 0.500
Pd 0.000 0.500 0.000
Pd 0.000 0.000 0.500
Pd 0.500 0.000 0.000

***

Compound: IrC
Source: Alexandria via LeMat-Bulk
Functional: PBE
Structure: optimized geometry

## Properties
**Energy of formation**: 2.75 eV/f.u.
**Space-group type**: No. 123
**Total magnetic moment**: 0.00 Bohr magnetons per cell
**DOS(E_F)**: 6.36 states/eV/cell

a b c (Å): 4.178 4.178 4.285
angles (deg): 90.00 90.00 90.00
Positions (direct):
Ir 0.500 0.500 0.500
Ir 0.000 0.500 0.000
Ir 0.500 0.000 0.000
C 0.500 0.500 0.000
C 0.500 0.000 0.500
C 0.000 0.500 0.500

***

Compound: AgHgW2
Source: Alexandria via LeMat-Bulk
Functional: PBE
Structure: optimized geometry

## Properties
**Energy of formation**: 3.29 eV/f.u.
**Space-group type**: No. 119
**Total magnetic moment**: 0.00 Bohr magnetons per cell
**DOS(E_F)**: 2.28 states/eV/cell

a b c (Å): 4.966 4.966 4.966
angles (deg): 130.57 130.57 72.50
Positions (direct):
Ag 0.500 0.500 0.000
Hg 0.750 0.250 0.500
W 0.000 0.000 0.000
W 0.250 0.750 0.500

***

Compound: Dy4Y3Te8
Source: Alexandria via LeMat-Bulk
Functional: PBE
Structure: optimized geometry

## Properties
**Space-group type**: No. 12
**Formation energy without anion corrections**: -1.37 eV/atom
**Total magnetic moment**: 0.00 Bohr magnetons per cell
**DOS(E_F)**: 6.94 states/eV/cell

a b c (Å): 8.686 8.686 8.686
angles (deg): 90.00 120.00 120.00
Positions (direct):
Dy 0.500 0.000 0.000
Dy 0.000 0.500 0.000
Dy 0.000 0.000 0.000
Dy 0.000 0.000 0.500
Y 0.500 0.500 0.000
Y 0.500 0.000 0.500
Y 0.500 0.500 0.500
Te 0.511 0.255 0.255
Te 0.000 0.745 0.255
Te 0.999 0.255 0.255
Te 0.500 0.750 0.250
Te 0.500 0.250 0.750
Te 0.001 0.745 0.745
Te 0.000 0.255 0.745
Te 0.489 0.745 0.745

***

Compound: Sr3Ga3Ge2
Source: Alexandria via LeMat-Bulk
Functional: PBE
Structure: optimized geometry

## Properties
**Energy of formation**: -4.21 eV/f.u.
**Space-group type**: No. 63
**Total magnetic moment**: 0.00 Bohr magnetons per cell
**DOS(E_F)**: 4.97 states/eV/cell

a b c (Å): 4.273 6.432 16.615
angles (deg): 90.00 90.00 109.40
Positions (direct):
Sr 0.843 0.686 0.408
Sr 0.157 0.314 0.908
Sr 0.843 0.686 0.092
Sr 0.157 0.314 0.592
Sr 0.545 0.089 0.250
Sr 0.455 0.911 0.750
Ga 0.566 0.132 0.445
Ga 0.434 0.868 0.945
Ga 0.566 0.132 0.055
Ga 0.434 0.868 0.555
Ga 0.271 0.542 0.250
Ga 0.729 0.458 0.750
Ge 0.861 0.721 0.881
Ge 0.139 0.279 0.381
Ge 0.861 0.721 0.619
Ge 0.139 0.279 0.119

***

Compound: AcGa6Ag2
Source: Alexandria via LeMat-Bulk
Functional: PBE
Structure: optimized geometry

## Properties
**Energy of formation**: -1.59 eV/f.u.
**Space-group type**: No. 71
**Total magnetic moment**: 0.00 Bohr magnetons per cell
**DOS(E_F)**: 3.01 states/eV/cell

a b c (Å): 4.355 7.430 7.356
angles (deg): 120.34 107.22 90.00
Positions (direct):
Ac 0.000 0.500 0.000
Ga 0.698 0.888 0.396
Ga 0.302 0.112 0.604
Ga 0.302 0.492 0.604
Ga 0.500 0.169 0.000
Ga 0.500 0.831 0.000
Ga 0.698 0.508 0.396
Ag 0.885 0.885 0.771
Ag 0.115 0.115 0.229